Entry 1:
Entry from the Alexandria database: crystalline LiAcTlSb at its relaxed geometry (PBE).

Summary:
**Uncorrected formation energy**: -443 meV per atom
**Total energy**: -57.14 eV per cell

abc: 7.8153 7.8153 7.8153
angles: 90.00 90.00 90.00
Last column: nearest neighbours and their distance in Å.
Space group F-43m (No. 216)
One atom of each set of equivalent atoms:
1 Li 0.0000 0.0000 0.0000  4 Tl 3.38, 4 Sb 3.38
2 Ac 0.0000 0.0000 0.5000  4 Sb 3.38, 4 Tl 3.38
3 Tl 0.2500 0.2500 0.2500  4 Ac 3.38, 4 Li 3.38
4 Sb 0.2500 0.2500 0.7500  4 Ac 3.38, 4 Li 3.38



Entry 2:
Entry from the Alexandria database: crystalline LaScSb2 at its relaxed geometry (PBE).

Summary:
**Uncorrected formation energy**: -1085 meV per atom
**ΔE to the lowest computed polymorph**: 0 meV per atom
**Total energy**: -71.54 eV per cell

abc: 4.4143 4.4143 21.3610
angles: 90.00 90.00 120.00
Last column: nearest neighbours and their distance in Å.
Space group R-3m (No. 166, hexagonal axes)
One atom of each set of equivalent atoms:
1 La 0.0000 0.0000 0.0000  6 Sb 3.23
2 Sc 0.0000 0.0000 0.5000  6 Sb 3.00
3 Sb 0.0000 0.0000 0.2405  3 Sc 3.00, 3 La 3.23



Entry 3:
Entry from the Alexandria database: crystalline TeHIr at its relaxed geometry (PBE).

Summary:
**Total energy**: -242.04 eV per cell

abc: 11.4338 11.4338 7.8768
angles: 90.00 90.00 90.00
Last column: nearest neighbours and their distance in Å.
Space group I4_1/a (No. 88, origin choice 2)
One atom of each set of equivalent atoms:
1 Te 0.0885 0.3663 0.3415  3 Ir 2.58-2.66
2 H 0.1123 0.4207 0.7103  2 Ir 1.75-1.86
3 Ir 0.0372 0.0841 0.6172  2 H 1.75-1.86



Entry 4:
Entry from the Alexandria database: crystalline SnW2Cl2 at its relaxed geometry (PBE).

Summary:
**Uncorrected formation energy**: 702 meV per atom
**ΔE to the lowest computed polymorph**: 0 meV per atom
**Total energy**: -60.18 eV per cell

abc: 4.0344 4.0344 12.0141
angles: 90.00 90.00 90.00
Last column: nearest neighbours and their distance in Å.
Space group I4/mmm (No. 139)
One atom of each set of equivalent atoms:
1 Sn 0.0000 0.0000 0.0000  8 W 3.09
2 W 0.0000 0.0000 0.4010  1 W 2.38
3 Cl 0.0000 0.5000 0.2500  4 W 2.71, 4 Cl 2.85



Entry 5:
Entry from the Alexandria database: crystalline K2NaSO4 at its relaxed geometry (PBE).

Summary:
**Uncorrected formation energy**: -1444 meV per atom
**Total energy**: -78.05 eV per cell

abc: 6.4681 6.4681 7.4876
angles: 90.00 90.00 90.00
Last column: nearest neighbours and their distance in Å.
Space group I-4 (No. 82)
One atom of each set of equivalent atoms:
1 K 0.0000 0.0000 0.0000  4 O 2.89
2 K 0.0000 0.5000 0.2500  8 O 3.12-3.48
3 Na 0.0000 0.0000 0.5000  4 O 2.54
4 S 0.0000 0.5000 0.7500  4 O 1.51
5 O 0.1102 0.3451 0.6325  1 S 1.51